<one>
Li4AcGa: optimized geometry, PBE-GGA.

Properties
Magnetic moment (μB per atom): 0.000
Space-group type: F-43m
Fermi-level density of states (states/eV per atom): 0.206
Mass density (kg/m3): 4220

Lattice parameters (Å, degrees): 5.652 5.652 5.652 60.00 60.00 60.00
Element x y z (fractional)
1 Ac 0.250 0.250 0.250
2 Ga 0.000 0.000 0.000
3 Li 0.628 0.628 0.117
4 Li 0.628 0.117 0.628
5 Li 0.628 0.628 0.628
6 Li 0.117 0.628 0.628

<two>
Li4AcGa: optimized geometry, PBE-GGA.

Properties
Magnetic moment (μB per atom): 0.000
Space-group type: Cmcm
Fermi-level density of states (states/eV per atom): 0.502
Mass density (kg/m3): 4020

Lattice parameters (Å, degrees): 4.975 7.400 7.696 90.00 108.86 90.00
Element x y z (fractional)
1 Li 0.231 0.426 0.463
2 Li 0.769 0.574 0.537
3 Li 0.231 0.074 0.463
4 Li 0.769 0.926 0.537
5 Li 0.607 0.750 0.214
6 Li 0.393 0.250 0.786
7 Li 0.000 0.500 0.000
8 Li 0.000 0.000 0.000
9 Ac 0.389 0.750 0.778
10 Ac 0.611 0.250 0.222
11 Ga 0.160 0.750 0.320
12 Ga 0.840 0.250 0.680

Stability, lowest: <two>

<one>
LiAc2Ga: optimized geometry, PBE-GGA.

Properties
Magnetic moment (μB per atom): 0.000
Space-group type: Fm-3m
Fermi-level density of states (states/eV per atom): 0.862
Mass density (kg/m3): 7128

Lattice parameters (Å, degrees): 5.592 5.592 5.592 60.00 60.00 60.00
Element x y z (fractional)
1 Li 0.500 0.500 0.500
2 Ac 0.750 0.750 0.750
3 Ac 0.250 0.250 0.250
4 Ga 0.000 0.000 0.000

<two>
LiAc2Ga: optimized geometry, PBE-GGA.

Properties
Magnetic moment (μB per atom): 0.000
Space-group type: P4/mmm
Fermi-level density of states (states/eV per atom): 0.945
Mass density (kg/m3): 7104

Lattice parameters (Å, degrees): 4.039 5.542 5.542 90.00 90.00 90.00
Element x y z (fractional)
1 Ac 0.000 0.000 0.500
2 Ac 0.000 0.500 0.000
3 Ga 0.500 0.000 0.000
4 Li 0.500 0.500 0.500

Stability, lowest: <two>

<one>
LiAc3Ga2: optimized geometry, PBE-GGA.

Properties
Magnetic moment (μB per atom): 0.000
Space-group type: P2_1/c
Fermi-level density of states (states/eV per atom): 0.872
Mass density (kg/m3): 7253

Lattice parameters (Å, degrees): 6.506 11.125 11.042 90.00 108.54 90.00
Element x y z (fractional)
1 Li 0.403 0.798 0.291
2 Li 0.097 0.298 0.209
3 Li 0.597 0.202 0.709
4 Li 0.903 0.702 0.791
5 Ac 0.273 0.879 0.969
6 Ac 0.227 0.379 0.531
7 Ac 0.727 0.121 0.031
8 Ac 0.773 0.621 0.469
9 Ac 0.315 0.528 0.098
10 Ac 0.185 0.028 0.402
11 Ac 0.685 0.472 0.902
12 Ac 0.815 0.972 0.598
13 Ac 0.854 0.771 0.144
14 Ac 0.646 0.271 0.356
15 Ac 0.146 0.229 0.856
16 Ac 0.354 0.729 0.644
17 Ga 0.631 0.985 0.278
18 Ga 0.869 0.485 0.222
19 Ga 0.369 0.015 0.722
20 Ga 0.131 0.515 0.778
21 Ga 0.223 0.609 0.359
22 Ga 0.277 0.109 0.141
23 Ga 0.777 0.391 0.641
24 Ga 0.723 0.891 0.859

<two>
LiAc3Ga2: optimized geometry, PBE-GGA.

Properties
Magnetic moment (μB per atom): 0.000
Space-group type: P4/mmm
Fermi-level density of states (states/eV per atom): 0.796
Mass density (kg/m3): 7332

Lattice parameters (Å, degrees): 3.940 3.940 12.070 90.00 90.00 90.00
Element x y z (fractional)
1 Li 0.500 0.500 0.500
2 Ac 0.000 0.000 0.000
3 Ac 0.000 0.000 0.682
4 Ac 0.000 0.000 0.318
5 Ga 0.500 0.500 0.833
6 Ga 0.500 0.500 0.167

Stability, lowest: <one>